Entry 1:
Material: KMgAlTe3
Method: DFT, GGA-PBE
State: relaxed

Cell lengths 4.270, 9.522, 11.345 Å; angles 109.15, 90.00, 90.00 degrees
Positions (direct):
K 0.750 0.790 0.800
Te 0.250 0.803 0.468
Te 0.750 0.197 0.532
Mg 0.750 0.363 0.905
Mg 0.250 0.637 0.095
Te 0.250 0.520 0.830
Al 0.750 0.909 0.374
K 0.250 0.210 0.200
Te 0.250 0.112 0.855
Te 0.750 0.480 0.170
Te 0.750 0.888 0.145
Al 0.250 0.091 0.626

space group	P2_1/m, No. 11
electronic total energy	-40.6	eV for the cell shown

=====

Entry 2:
Material: K2MgAlTe4
Method: DFT, GGA-PBE
State: relaxed

Cell lengths 7.486, 7.079, 7.079 Å; angles 73.77, 58.08, 58.08 degrees
Positions (direct):
Te 0.565 0.000 0.335
K 0.500 0.500 0.500
K 0.000 0.500 0.500
Mg 0.000 0.000 0.000
Te 0.435 0.665 0.000
Al 0.500 0.000 0.000
Te 0.099 0.335 0.000
Te 0.901 0.000 0.665

space group	I-42m, No. 121
electronic total energy	-26.1	eV for the cell shown

=====

Entry 3:
Material: KMgAlW2
Method: DFT, GGA-PBE
State: relaxed

Cell lengths 4.950, 4.984, 4.950 Å; angles 90.00, 90.00, 90.00 degrees
Positions (direct):
W 0.500 0.000 0.000
Mg 0.000 0.000 0.000
K 0.500 0.500 0.500
Al 0.000 0.500 0.000
W 0.000 0.000 0.500

space group	P4/mmm, No. 123
calculated formation energy	1098	kJ/mol of formula units

=====

Entry 4:
Material: KMgAlZn2
Method: DFT, GGA-PBE
State: relaxed

Cell lengths 5.011, 6.272, 5.011 Å; angles 90.00, 90.00, 90.00 degrees
Positions (direct):
Mg 0.500 0.500 0.500
K 0.000 0.500 0.000
Al 0.000 0.000 0.000
Zn 0.000 0.000 0.500
Zn 0.500 0.000 0.000

space group	P4/mmm, No. 123
calculated formation energy	228	kJ/mol of formula units

=====

Result set for total magnetic moment: 0.00, 0.00, 3.83, 0.00 Bohr magnetons per cell, one per record in the order listed.
Result set for calculated volume: 436, 270, 122, 157 Å³ per cell, one per record in the order listed.